# 1
Computed, not measured: a relaxed structure of PmPa2Ga6 at the GGA-PBE level of DFT.

- Relative energy among the computed polymorphs: 0 meV/atom
- Electronic total energy: -5.07 eV per atom

abc: 3.5372 7.7838 7.7838
angles: 120.00 90.00 90.00
Last column: nearest neighbours and their distance in Å.
Positions (direct):
Ga 0.5000 0.0000 0.3350  3 Ga 2.57-2.61
Pa 0.0000 0.3333 0.6667  12 Ga 3.13
Ga 0.5000 0.3350 0.3350  3 Ga 2.57-2.61
Ga 0.5000 0.0000 0.6650  3 Ga 2.57-2.61
Pm 0.0000 0.0000 0.0000  12 Ga 3.15
Ga 0.5000 0.6650 0.0000  3 Ga 2.57-2.61
Pa 0.0000 0.6667 0.3333  12 Ga 3.13
Ga 0.5000 0.6650 0.6650  3 Ga 2.57-2.61
Ga 0.5000 0.3350 0.0000  3 Ga 2.57-2.61



# 2
Computed, not measured: a relaxed structure of PmPaGa2 at the GGA-PBE level of DFT.

- Relative energy among the computed polymorphs: 0 meV/atom
- Electronic total energy: -5.45 eV per atom

abc: 3.3074 3.3074 8.3641
angles: 90.00 90.00 90.00
Last column: nearest neighbours and their distance in Å.
Positions (direct):
Pm 0.5000 0.5000 0.5000  8 Ga 3.17, 4 Pm 3.31
Pa 0.5000 0.5000 0.0000  8 Ga 3.10, 4 Pa 3.31
Ga 0.0000 0.0000 0.7561  4 Pa 3.10, 4 Pm 3.17, 4 Ga 3.31
Ga 0.0000 0.0000 0.2439  4 Pa 3.10, 4 Pm 3.17, 4 Ga 3.31



| no. | formation enthalpy at 0 K (eV per atom) |
| --- | --- |
| 1 | -0.4130 |
| 2 | -0.3703 |